Entry 1:
Below is In2AgRh after structural relaxation, with properties calculated at the GGA-PBE level.

Cell and atoms, written as CIF:
```
data_In2AgRh
_cell_length_a 8.993
_cell_length_b 3.180
_cell_length_c 5.467
_cell_angle_alpha 90.00
_cell_angle_beta 101.23
_cell_angle_gamma 90.00
_symmetry_space_group_name_H-M 'C 1 2/m 1'
_symmetry_Int_Tables_number 12
_symmetry_space_group_name_Hall '-C 2y'
loop_
_atom_site_label
_atom_site_type_symbol
_atom_site_fract_x
_atom_site_fract_y
_atom_site_fract_z
_atom_site_occupancy
In1 In 0.242 0.000 0.235 1
Ag1 Ag 0.000 0.000 0.500 1
Rh1 Rh 0.000 0.500 0.000 1
```

Calculated values
Total magnetic moment ... 0.00 μB per cell
Energy ... -3.9829 eV per atom
Calculated formation energy ... -0.06 eV per atom

---

Entry 2:
Below is HoCo6Ge6 after structural relaxation, with properties calculated at the GGA-PBE level.

Cell and atoms, written as CIF:
```
data_HoCo6Ge6
_cell_length_a 5.093
_cell_length_b 7.847
_cell_length_c 8.802
_cell_angle_alpha 90.00
_cell_angle_beta 90.00
_cell_angle_gamma 90.00
_symmetry_space_group_name_H-M 'I m m m'
_symmetry_Int_Tables_number 71
_symmetry_space_group_name_Hall '-I 2 2'
loop_
_atom_site_label
_atom_site_type_symbol
_atom_site_fract_x
_atom_site_fract_y
_atom_site_fract_z
_atom_site_occupancy
Ho1 Ho 0.000 0.000 0.000 1
Co1 Co 0.000 0.248 0.500 1
Co2 Co 0.250 0.250 0.250 1
Ge1 Ge 0.000 0.000 0.336 1
Ge2 Ge 0.000 0.345 0.000 1
Ge3 Ge 0.000 0.500 0.331 1
```

Calculated values
Total magnetic moment ... 0.00 μB per cell
Energy ... -6.1147 eV per atom
Calculated formation energy ... -0.35 eV per atom

---

Entry 3:
Below is CeMg3Ag4 after structural relaxation, with properties calculated at the GGA-PBE level.

Cell and atoms, written as CIF:
```
data_CeMg3Ag4
_cell_length_a 4.7799
_cell_length_b 4.7799
_cell_length_c 25.5972
_cell_angle_alpha 90.00
_cell_angle_beta 90.00
_cell_angle_gamma 120.00
_symmetry_space_group_name_H-M 'R -3 m'
_symmetry_Int_Tables_number 166
_symmetry_space_group_name_Hall '-R 3 2"'
loop_
_atom_site_label
_atom_site_type_symbol
_atom_site_fract_x
_atom_site_fract_y
_atom_site_fract_z
_atom_site_occupancy
Ce1 Ce 0.0000 0.0000 0.0000 1
Mg1 Mg 0.0000 0.0000 0.2444 1
Mg2 Mg 0.0000 0.0000 0.5000 1
Ag1 Ag 0.0000 0.0000 0.1281 1
Ag2 Ag 0.0000 0.0000 0.3933 1
```

Calculated values
Total magnetic moment ... 3.06 μB per cell
Energy ... -2.9305 eV per atom
Calculated formation energy ... -0.17 eV per atom

---

Entry 4:
Below is Sr3Sc2Cu2S2O5 after structural relaxation, with properties calculated at the GGA-PBE level.

Cell and atoms, written as CIF:
```
data_Sr3Sc2Cu2S2O5
_cell_length_a 4.096
_cell_length_b 4.096
_cell_length_c 26.158
_cell_angle_alpha 90.00
_cell_angle_beta 90.00
_cell_angle_gamma 90.00
_symmetry_space_group_name_H-M 'I 4/m m m'
_symmetry_Int_Tables_number 139
_symmetry_space_group_name_Hall '-I 4 2'
loop_
_atom_site_label
_atom_site_type_symbol
_atom_site_fract_x
_atom_site_fract_y
_atom_site_fract_z
_atom_site_occupancy
Sr1 Sr 0.000 0.000 0.000 1
Sr2 Sr 0.000 0.000 0.145 1
Sc1 Sc 0.000 0.000 0.424 1
Cu1 Cu 0.000 0.500 0.250 1
S1 S 0.000 0.000 0.301 1
O1 O 0.000 0.000 0.500 1
O2 O 0.000 0.500 0.087 1
```

Calculated values
Formation energy without anion corrections ... -232 kJ/mol of atoms
Total magnetic moment ... 0.00 μB per cell
Energy ... -6.6163 eV per atom